# 1
{
  "formula": "YSiNi2",
  "functional": "PBE",
  "state": "relaxed",
  "sg": "P4mm",
  "volume_a3_per_atom": 17.00,
  "crystal_system": "tetragonal",
  "raw_formation_energy_mev_per_atom": -409,
  "lattice": [[-0.6081, -1.9316, -3.1553], [3.1876, -1.8983, 0.5478], [-2.4252, -3.3451, 2.5153]],
  "species": ["Ni", "Si", "Y", "Ni"],
  "frac_coords": [[0.5000, 0.3751, 0.1762], [0.0000, 0.3750, 0.4270], [0.5000, 0.8749, 0.7207], [0.0000, 0.8750, 0.1761]]
}



# 2
{
  "formula": "YSiNi11",
  "functional": "PBE",
  "state": "relaxed",
  "sg": "C2/m",
  "volume_a3_per_atom": 12.11,
  "crystal_system": "monoclinic",
  "raw_formation_energy_mev_per_atom": -265,
  "lattice": [[-2.5053, -2.6191, -2.9533], [3.4064, -1.5419, -4.9504], [0.5399, -6.0962, 1.2477]],
  "species": ["Ni", "Ni", "Ni", "Si", "Ni", "Y", "Ni", "Ni", "Ni", "Ni", "Ni", "Ni", "Ni"],
  "frac_coords": [[0.0000, 0.5000, 0.0000], [0.9897, 0.6460, 0.3539], [0.6564, 0.3540, 0.3539], [0.5000, 0.5000, 0.0000], [0.2850, 0.2271, 0.2227], [0.0000, 0.0000, 0.0000], [0.7150, 0.7729, 0.7773], [0.4923, 0.7729, 0.2227], [0.5077, 0.2271, 0.7773], [0.5000, 0.0000, 0.5000], [0.0103, 0.3540, 0.6461], [0.3436, 0.6460, 0.6461], [0.0000, 0.0000, 0.5000]]
}



# 3
{
  "formula": "YSi2Ni",
  "functional": "PBE",
  "state": "relaxed",
  "sg": "I-42d",
  "volume_a3_per_atom": 19.59,
  "crystal_system": "tetragonal",
  "raw_formation_energy_mev_per_atom": -403,
  "lattice": [[4.5396, 0.0000, 0.0000], [0.0000, 4.5396, 0.0000], [2.2698, 2.2698, 7.6053]],
  "species": ["Ni", "Y", "Si", "Si", "Y", "Ni", "Si", "Si"],
  "frac_coords": [[0.5000, 0.5000, 0.0000], [0.0000, 0.0000, 0.0000], [0.3097, 0.6250, 0.2500], [0.8750, 0.6903, 0.7500], [0.7500, 0.2500, 0.5000], [0.2500, 0.7500, 0.5000], [0.4403, 0.1250, 0.2500], [0.3750, 0.5597, 0.7500]]
}



# 4
{
  "formula": "YSi2Ni2",
  "functional": "PBE",
  "state": "relaxed",
  "sg": "I4/mmm",
  "volume_a3_per_atom": 15.14,
  "crystal_system": "tetragonal",
  "raw_formation_energy_mev_per_atom": -718,
  "lattice": [[-3.3573, -0.7418, -2.0236], [2.0073, -2.4401, -2.4358], [-1.6108, -5.2492, 0.6639]],
  "species": ["Ni", "Ni", "Si", "Y", "Si"],
  "frac_coords": [[0.3711, 0.3711, 0.2578], [0.6289, 0.6289, 0.7422], [0.7500, 0.2500, 0.5000], [0.0000, 0.0000, 0.0000], [0.2500, 0.7500, 0.5000]]
}



# 5
{
  "formula": "YSi2Ni",
  "functional": "PBE",
  "state": "relaxed",
  "sg": "P4mm",
  "volume_a3_per_atom": 16.37,
  "crystal_system": "tetragonal",
  "raw_formation_energy_mev_per_atom": -332,
  "lattice": [[3.2145, 0.0000, 0.0000], [0.0000, 3.2147, 0.0000], [0.0000, 0.0000, 6.3355]],
  "species": ["Si", "Y", "Si", "Ni"],
  "frac_coords": [[0.0000, 0.0000, 0.9766], [0.0000, 0.0000, 0.4963], [0.5000, 0.5000, 0.1953], [0.5000, 0.5000, 0.8318]]
}



# 6
{
  "formula": "YSiNi2",
  "functional": "PBE",
  "state": "relaxed",
  "sg": "R-3m",
  "volume_a3_per_atom": 16.20,
  "crystal_system": "trigonal",
  "raw_formation_energy_mev_per_atom": -684,
  "lattice": [[-3.8274, -0.8588, -0.6606], [-1.2552, -3.7700, 0.1868], [-2.6100, -1.0100, 4.4531]],
  "species": ["Ni", "Y", "Ni", "Si"],
  "frac_coords": [[0.5499, 0.5499, 0.3502], [0.7500, 0.7500, 0.7500], [0.9501, 0.9501, 0.1498], [0.2500, 0.2500, 0.2500]]
}



# 7
{
  "formula": "Y3Si4Ni2",
  "functional": "PBE",
  "state": "relaxed",
  "sg": "C2/m",
  "volume_a3_per_atom": 17.91,
  "crystal_system": "monoclinic",
  "raw_formation_energy_mev_per_atom": -809,
  "lattice": [[-1.0049, 3.4150, 1.9982], [-1.6103, -4.5385, 2.7768], [7.6137, 1.0553, 2.0255]],
  "species": ["Si", "Si", "Y", "Y", "Ni", "Si", "Si", "Ni", "Y"],
  "frac_coords": [[0.7173, 0.4345, 0.0733], [0.9026, 0.8053, 0.5891], [0.3769, 0.7539, 0.3064], [0.0000, 0.0000, 0.0000], [0.3163, 0.6327, 0.6469], [0.2827, 0.5655, 0.9267], [0.0974, 0.1947, 0.4109], [0.6837, 0.3673, 0.3531], [0.6231, 0.2461, 0.6936]]
}



# 8
{
  "formula": "Y3Si4Ni7",
  "functional": "PBE",
  "state": "relaxed",
  "sg": "C2/m",
  "volume_a3_per_atom": 14.84,
  "crystal_system": "monoclinic",
  "raw_formation_energy_mev_per_atom": -692,
  "lattice": [[3.7523, 0.0000, 0.9466], [1.3866, 7.1074, 2.4139], [0.0289, -0.0154, 7.7958]],
  "species": ["Ni", "Y", "Y", "Y", "Si", "Ni", "Ni", "Si", "Ni", "Ni", "Ni", "Ni", "Si", "Si"],
  "frac_coords": [[0.6890, 0.1501, 0.4719], [0.3227, 0.1812, 0.1734], [0.0000, 0.5000, 0.5000], [0.6773, 0.8188, 0.8266], [0.6640, 0.4527, 0.2194], [0.3110, 0.8499, 0.5281], [0.4942, 0.2344, 0.7773], [0.3360, 0.5473, 0.7806], [0.0000, 0.0000, 0.0000], [0.8358, 0.4068, 0.9215], [0.5058, 0.7656, 0.2227], [0.1642, 0.5932, 0.0785], [0.8884, 0.8950, 0.3281], [0.1116, 0.1050, 0.6719]]
}